Entry from the Alexandria database: KPrVO4 after structural relaxation (GGA+U).

## Properties
E_tot = -49.86 eV per formula unit

Cell lengths 6.159, 6.012, 7.432 Å; angles 90.00, 104.95, 90.00 degrees
Space group P2_1/m (No. 11)
Unique sites:
K 0.202 0.250 0.422 [2 per cell]
Pr 0.310 0.250 0.948 [2 per cell]
V 0.218 0.750 0.161 [2 per cell]
O 0.037 0.750 0.314 [2 per cell]
O 0.047 0.750 0.933 [2 per cell]
O 0.436 0.524 0.179 [4 per cell]